The following is a DFT calculation (PBE-GGA) of crystalline YSb2Mo at its relaxed geometry.

```
data_YSb2Mo
_chemical_formula_sum 'Y1 Sb2 Mo1'
_space_group_name_H-M_alt 'P 1'
_space_group_IT_number 1
_space_group_name_Hall 'P 1'
_cell_length_a 4.435
_cell_length_b 4.435
_cell_length_c 6.634
_cell_angle_alpha 104.09
_cell_angle_beta 104.09
_cell_angle_gamma 50.55
loop_
_atom_site_label
_atom_site_type_symbol
_atom_site_fract_x
_atom_site_fract_y
_atom_site_fract_z
Y1 Y 0.000 0.000 0.000
Sb1 Sb 0.240 0.240 0.707
Sb2 Sb 0.760 0.760 0.293
Mo1 Mo 0.500 0.500 0.500
```

Output
The calculation puts the size of the total moment at 0.54 μB per cell. The value obtained for the total energy is -6.5910 eV/atom. As for the space group: C2/m.